(1)
This record from the Alexandria database describes a geometry-optimized Dy7Ge2Bi2 structure. The functional is PBE-GGA.

abc: 9.134 10.777 6.823
angles: 90.00 90.00 90.00
Space group Cmmm (No. 65)
Inequivalent atoms, fractional coordinates:
Dy 0.000 0.000 0.000 (multiplicity 2)
Dy 0.000 0.500 0.244 (multiplicity 4)
Dy 0.250 0.250 0.253 (multiplicity 8)
Ge 0.000 0.272 0.000 (multiplicity 4)
Bi 0.195 0.000 0.500 (multiplicity 4)

final energy	-4.897	eV per atom
total moment	0.000	μB per atom
DOS at the Fermi energy	27.2	states/eV per cell
formation energy	-0.423	eV per atom



(2)
This record from the Alexandria database describes a geometry-optimized Ru2PtCl structure. The functional is PBE-GGA.

abc: 2.768 4.878 9.636
angles: 90.00 90.00 90.00
Space group Cmm2 (No. 35)
Inequivalent atoms, fractional coordinates:
Ru 0.000 0.000 0.000 (multiplicity 2)
Ru 0.000 0.500 0.228 (multiplicity 2)
Pt 0.000 0.000 0.473 (multiplicity 2)
Cl 0.000 0.500 0.790 (multiplicity 2)

formation energy (no corrections)	2.04	eV per formula unit
final energy	-6.101	eV per atom
total moment	0.350	μB per atom
DOS at the Fermi energy	10.3	states/eV per cell
E above lowest polymorph	5.12	kcal/mol of atoms



(3)
This record from the Alexandria database describes a geometry-optimized SrSnBi2 structure. The functional is PBE-GGA.

abc: 4.4187 4.4187 25.5149
angles: 90.00 90.00 120.00
Space group R-3m (No. 166, hexagonal axes)
Inequivalent atoms, fractional coordinates:
Sr 0.0000 0.0000 0.0000 (multiplicity 3)
Sn 0.0000 0.0000 0.5000 (multiplicity 3)
Bi 0.0000 0.0000 0.2386 (multiplicity 6)

final energy	-3.593	eV per atom
total moment	0.000	μB per atom
DOS at the Fermi energy	8.1	states/eV per cell
formation energy	-0.231	eV per atom



(4)
This record from the Alexandria database describes a geometry-optimized Pr3EuRu structure. The functional is PBE-GGA.

abc: 5.648 5.648 5.648
angles: 90.00 90.00 90.00
Space group Pm-3m (No. 221)
Inequivalent atoms, fractional coordinates:
Pr 0.000 0.000 0.500 (multiplicity 3)
Eu 0.500 0.500 0.500 (multiplicity 1)
Ru 0.000 0.000 0.000 (multiplicity 1)

final energy	-6.817	eV per atom
total moment	1.478	μB per atom
DOS at the Fermi energy	5.2	states/eV per cell
formation energy	-0.039	eV per atom



(5)
This record from the Alexandria database describes a geometry-optimized ZnHgS2 structure. The functional is PBE-GGA.

abc: 3.805 3.805 5.340
angles: 90.00 90.00 90.00
Space group P4/mmm (No. 123)
Inequivalent atoms, fractional coordinates:
Zn 0.000 0.000 0.000 (multiplicity 1)
Hg 0.500 0.500 0.500 (multiplicity 1)
S 0.000 0.000 0.500 (multiplicity 1)
S 0.500 0.500 0.000 (multiplicity 1)

formation energy (no corrections)	-0.61	eV per formula unit
final energy	-2.610	eV per atom
total moment	0.000	μB per atom
DOS at the Fermi energy	1.0	states/eV per cell



(6)
This record from the Alexandria database describes a geometry-optimized Ac2PmGe4Ir3 structure. The functional is PBE-GGA.

abc: 4.426 4.426 11.267
angles: 90.00 90.00 90.00
Space group P-4m2 (No. 115)
Inequivalent atoms, fractional coordinates:
Ac 0.000 0.500 0.228 (multiplicity 2)
Pm 0.000 0.000 0.500 (multiplicity 1)
Ge 0.000 0.000 0.000 (multiplicity 1)
Ge 0.000 0.500 0.668 (multiplicity 2)
Ge 0.500 0.500 0.000 (multiplicity 1)
Ir 0.000 0.500 0.889 (multiplicity 2)
Ir 0.500 0.500 0.500 (multiplicity 1)

final energy	-6.489	eV per atom
total moment	0.000	μB per atom
DOS at the Fermi energy	6.3	states/eV per cell
formation energy	-0.687	eV per atom